1.
Entry from Alexandria: crystalline Tm3MgGa12 at its relaxed geometry (PBE).

abc: 4.2347 4.2347 16.8892
angles: 90.00 90.00 90.00
With the nearest neighbours (Å) after each atom.
Space group P4/mmm (No. 123)
Symmetry-distinct sites (fractional):
Tm  0.0000  0.0000  0.0000 (multiplicity 1)  12 Ga 2.99-3.01
Tm  0.0000  0.0000  0.2521 (multiplicity 2)  12 Ga 3.00-3.03
Mg  0.0000  0.0000  0.5000 (multiplicity 1)  12 Ga 2.92-2.99
Ga  0.0000  0.5000  0.1265 (multiplicity 4)  8 Ga 2.94-3.01, 4 Tm 3.00-3.01
Ga  0.0000  0.5000  0.3805 (multiplicity 4)  2 Mg 2.92, 8 Ga 2.92-3.09, 2 Tm 3.03
Ga  0.5000  0.5000  0.0000 (multiplicity 1)  4 Tm 2.99, 8 Ga 3.01
Ga  0.5000  0.5000  0.2476 (multiplicity 2)  8 Ga 2.94-3.09, 4 Tm 3.00
Ga  0.5000  0.5000  0.5000 (multiplicity 1)  8 Ga 2.92, 4 Mg 2.99

Output
Total magnetic moment, μB/atom: 0.00
Energy relative to the elements, kJ/mol of formula units: -619

2.
Entry from Alexandria: crystalline Sc2BeRh at its relaxed geometry (PBE).

abc: 3.1069 3.1069 7.0404
angles: 90.00 90.00 90.00
With the nearest neighbours (Å) after each atom.
Space group P4mm (No. 99)
Symmetry-distinct sites (fractional):
Sc  0.0000  0.0000  0.0000 (multiplicity 1)  1 Be 2.77, 4 Rh 2.87, 4 Sc 3.11
Sc  0.5000  0.5000  0.3546 (multiplicity 1)  1 Rh 2.70, 4 Be 2.82
Be  0.0000  0.0000  0.6060 (multiplicity 1)  4 Rh 2.39
Rh  0.5000  0.5000  0.7383 (multiplicity 1)  4 Be 2.39

Output
Total magnetic moment, μB/atom: 0.15
Energy relative to the elements, kJ/mol of formula units: -155

What are the raw total energy values for these records? In order: -3.6091 -6.3369 eV/atom.